A geometry-optimized Mg2Cr2WN6 structure. Source: the Alexandria database, functional PBE.

```
Mg2Cr2WN6
1.0
5.039 0.020 0.051
-2.473 4.390 0.051
-0.909 -1.563 5.064
Mg Cr W N
2 2 1 6
Cartesian
3.729 0.782 0.051
-1.163 3.628 0.051
-0.331 2.098 2.583
1.987 0.749 2.583
-0.455 -0.782 2.532
1.246 2.142 3.763
-1.343 0.662 3.659
0.410 0.706 1.403
1.239 -0.840 3.659
2.999 2.186 1.507
0.418 3.688 1.507
```

## Properties
- raw formation energy (eV per atom) = -0.48
- symmetry = C2/m (12)
- D(E_F) (states/eV per cell) = 2.56
- total magnetic moment (μB/cell) = 3.78